1.
! PmGdTm2, relaxed, DFT PBE; values from VASP
&SYSTEM
  ibrav = 0, nat = 4, ntyp = 3
/
ATOMIC_SPECIES
Pm 145.00 Pm.upf
Gd 157.25 Gd.upf
Tm 168.93 Tm.upf
CELL_PARAMETERS angstrom
0.000 4.001 4.001
4.001 0.000 4.001
4.001 4.001 0.000
ATOMIC_POSITIONS angstrom
Pm 0.000 0.000 0.000
Gd 4.001 4.001 4.001
Tm 2.000 2.000 2.000
Tm 6.001 6.001 6.001
! Mass density ... 8.30 g/cm³
! DOS(E_F) ... 7.410 states/eV/cell
! Final energy ... -6.845 eV per atom

=====

2.
! KNdBr4, relaxed, DFT PBE; values from VASP
&SYSTEM
  ibrav = 0, nat = 12, ntyp = 3
/
ATOMIC_SPECIES
K 39.10 K.upf
Nd 144.24 Nd.upf
Br 79.90 Br.upf
CELL_PARAMETERS angstrom
4.266 -9.336 0.000
4.266 9.336 0.000
-3.194 0.000 6.767
ATOMIC_POSITIONS angstrom
K 1.871 5.926 5.075
K 3.468 -5.926 1.692
Nd 1.871 1.283 5.075
Nd 3.468 -1.283 1.692
Br -0.151 3.257 4.987
Br 1.473 0.892 2.195
Br -0.124 -0.892 5.579
Br 1.446 -3.257 1.603
Br 3.893 3.257 5.164
Br 5.463 0.892 1.188
Br 3.866 -0.892 4.571
Br 5.490 -3.257 1.780
! Mass density ... 3.10 g/cm³
! ΔE_f (raw) ... -1.844 eV/atom
! DOS(E_F) ... 0.000 states/eV/cell